Record 1
A geometry-optimized NpP2Pd structure, computed with PBE.

abc: 3.9688 3.9688 5.6844
angles: 69.57 69.57 60.00
Closest atoms and distances in Å follow each position.
Atoms (fractional coordinates):
P 0.7403 0.7403 0.7791  3 Pd 2.56, 3 Np 2.71
P 0.2597 0.2597 0.2209  3 Pd 2.56, 3 Np 2.71
Np 0.5000 0.5000 0.5000  6 P 2.71
Pd 0.0000 0.0000 0.0000  6 P 2.56

Total energy in eV per atom: -7.82
Space-group type: R-3m (166)
DFT formation energy in eV per atom: -0.578

=====

Record 2
A geometry-optimized Th3Sn structure, computed with PBE.

abc: 5.5728 5.5728 5.5728
angles: 60.00 60.00 60.00
Closest atoms and distances in Å follow each position.
Atoms (fractional coordinates):
Th 0.7500 0.7500 0.7500  4 Sn 3.41, 4 Th 3.41
Th 0.0000 0.0000 0.0000  8 Th 3.41
Th 0.2500 0.2500 0.2500  4 Sn 3.41, 4 Th 3.41
Sn 0.5000 0.5000 0.5000  8 Th 3.41

Total energy in eV per atom: -6.64
Space-group type: Fm-3m (225)
DFT formation energy in eV per atom: -0.070